The following is a DFT calculation (PBE) of a relaxed HoIn5Co crystal.

Unit cell a=4.5746 b=4.5746 c=7.4840 alpha=90.00 beta=90.00 gamma=90.00
Atoms (fractional coordinates):
Ho (0.0000, 0.0000, 0.0000)
In (0.0000, 0.5000, 0.3057)
In (0.0000, 0.5000, 0.6943)
In (0.5000, 0.0000, 0.3057)
In (0.5000, 0.0000, 0.6943)
In (0.5000, 0.5000, 0.0000)
Co (0.0000, 0.0000, 0.5000)

## Properties
- Uncorrected energy: -26.99 eV per cell
- Magnetization: 0.00 Bohr magnetons per cell
- Symmetry: P4/mmm (123)